(1)
# Cd2AgI PBE optimized geometry
data_Cd2AgI
_space_group_name_H-M_alt 'F m -3 m'
_space_group_IT_number 225
_space_group_name_Hall '-F 4 2 3'
_cell_length_a 7.612
_cell_length_b 7.612
_cell_length_c 7.612
_cell_angle_alpha 90.00
_cell_angle_beta 90.00
_cell_angle_gamma 90.00
loop_
_atom_site_label
_atom_site_type_symbol
_atom_site_fract_x
_atom_site_fract_y
_atom_site_fract_z
Cd1 Cd 0.250 0.250 0.250
Ag1 Ag 0.000 0.000 0.000
I1 I 0.000 0.000 0.500
# **Calculated volume**: 441.1 Å³ per cell
# **Offset from the most stable computed form**: 0.2810 eV/atom
# **Formation energy without anion corrections**: 1.4 eV/f.u.
# **Total magnetization**: 0.0000 μB/atom
# **Electronic total energy**: -19.488 eV per cell

(2)
# CdAgI3 PBE optimized geometry
data_CdAgI3
_space_group_name_H-M_alt 'C m c 21'
_space_group_IT_number 36
_cell_length_a 4.401
_cell_length_b 24.721
_cell_length_c 7.433
_cell_angle_alpha 90.00
_cell_angle_beta 90.00
_cell_angle_gamma 90.00
loop_
_space_group_symop_operation_xyz
'x,y,z'
'-x,-y,z+1/2'
'-x,y,z'
'x,-y,z+1/2'
'x+1/2,y+1/2,z'
'-x+1/2,-y+1/2,z+1/2'
'-x+1/2,y+1/2,z'
'x+1/2,-y+1/2,z+1/2'
loop_
_atom_site_label
_atom_site_type_symbol
_atom_site_fract_x
_atom_site_fract_y
_atom_site_fract_z
Cd1 Cd 0.000 0.114 0.000
Ag1 Ag 0.000 0.313 0.976
I1 I 0.000 0.120 0.624
I2 I 0.000 0.214 0.192
I3 I 0.000 0.447 0.632
# **Calculated volume**: 808.6 Å³ per cell
# **Offset from the most stable computed form**: 0.0057 eV/atom
# **Formation energy without anion corrections**: -2.1 eV/f.u.
# **Total magnetization**: 0.0000 μB/atom
# **Electronic total energy**: -42.226 eV per cell

(3)
# CdAg2I PBE optimized geometry
data_CdAg2I
_space_group_name_H-M_alt 'F m -3 m'
_space_group_IT_number 225
_space_group_name_Hall '-F 4 2 3'
_cell_length_a 7.361
_cell_length_b 7.361
_cell_length_c 7.361
_cell_angle_alpha 90.00
_cell_angle_beta 90.00
_cell_angle_gamma 90.00
loop_
_atom_site_label
_atom_site_type_symbol
_atom_site_fract_x
_atom_site_fract_y
_atom_site_fract_z
Cd1 Cd 0.000 0.000 0.000
Ag1 Ag 0.250 0.250 0.250
I1 I 0.000 0.000 0.500
# **Calculated volume**: 398.8 Å³ per cell
# **Offset from the most stable computed form**: 0.1036 eV/atom
# **Formation energy without anion corrections**: 1.2 eV/f.u.
# **Total magnetization**: 0.0000 μB/atom
# **Electronic total energy**: -27.773 eV per cell

(4)
# CdAgI2 PBE optimized geometry
data_CdAgI2
_space_group_name_H-M_alt 'F m -3 m'
_space_group_IT_number 225
_space_group_name_Hall '-F 4 2 3'
_cell_length_a 7.773
_cell_length_b 7.773
_cell_length_c 7.773
_cell_angle_alpha 90.00
_cell_angle_beta 90.00
_cell_angle_gamma 90.00
loop_
_atom_site_label
_atom_site_type_symbol
_atom_site_fract_x
_atom_site_fract_y
_atom_site_fract_z
Cd1 Cd 0.000 0.000 0.000
Ag1 Ag 0.000 0.000 0.500
I1 I 0.250 0.250 0.250
# **Calculated volume**: 469.6 Å³ per cell
# **Offset from the most stable computed form**: 0.1954 eV/atom
# **Formation energy without anion corrections**: 0.2 eV/f.u.
# **Total magnetization**: 0.0000 μB/atom
# **Electronic total energy**: -26.600 eV per cell

(5)
# CdAgI3 PBE optimized geometry
data_CdAgI3
_space_group_name_H-M_alt 'P 1 21/c 1'
_space_group_IT_number 14
_cell_length_a 8.039
_cell_length_b 8.373
_cell_length_c 14.587
_cell_angle_alpha 90.00
_cell_angle_beta 122.62
_cell_angle_gamma 90.00
loop_
_space_group_symop_operation_xyz
'x,y,z'
'-x,-y,-z'
'-x,y+1/2,-z+1/2'
'x,-y+1/2,z+1/2'
loop_
_atom_site_label
_atom_site_type_symbol
_atom_site_fract_x
_atom_site_fract_y
_atom_site_fract_z
Cd1 Cd 0.075 0.242 0.492
Ag1 Ag 0.287 0.548 0.855
I1 I 0.087 0.061 0.660
I2 I 0.248 0.559 0.652
I3 I 0.416 0.247 0.979
# **Calculated volume**: 826.9 Å³ per cell
# **Offset from the most stable computed form**: 0.0000 eV/atom
# **Formation energy without anion corrections**: -2.2 eV/f.u.
# **Total magnetization**: 0.0000 μB/atom
# **Electronic total energy**: -42.339 eV per cell

(6)
# CdAg3I4 PBE optimized geometry
data_CdAg3I4
_space_group_name_H-M_alt 'I -4 2 m'
_space_group_IT_number 121
_space_group_name_Hall 'I -4 2'
_cell_length_a 6.779
_cell_length_b 6.779
_cell_length_c 13.537
_cell_angle_alpha 90.00
_cell_angle_beta 90.00
_cell_angle_gamma 90.00
loop_
_atom_site_label
_atom_site_type_symbol
_atom_site_fract_x
_atom_site_fract_y
_atom_site_fract_z
Cd1 Cd 0.000 0.000 0.000
Ag1 Ag 0.000 0.000 0.500
Ag2 Ag 0.000 0.500 0.250
I1 I 0.234 0.234 0.368
# **Calculated volume**: 622.1 Å³ per cell
# **Formation energy without anion corrections**: -1.5 eV/f.u.
# **Total magnetization**: 0.0000 μB/atom
# **Electronic total energy**: -34.387 eV per cell

(7)
# CdAg2I PBE optimized geometry
data_CdAg2I
_space_group_name_H-M_alt 'I -4 2 d'
_space_group_IT_number 122
_space_group_name_Hall 'I -4 2bw'
_cell_length_a 7.761
_cell_length_b 7.761
_cell_length_c 7.212
_cell_angle_alpha 90.00
_cell_angle_beta 90.00
_cell_angle_gamma 90.00
loop_
_atom_site_label
_atom_site_type_symbol
_atom_site_fract_x
_atom_site_fract_y
_atom_site_fract_z
Cd1 Cd 0.000 0.000 0.000
Ag1 Ag 0.238 0.250 0.125
I1 I 0.000 0.000 0.500
# **Calculated volume**: 434.3 Å³ per cell
# **Offset from the most stable computed form**: 0.0000 eV/atom
# **Formation energy without anion corrections**: 0.8 eV/f.u.
# **Total magnetization**: 0.0000 μB/atom
# **Electronic total energy**: -29.431 eV per cell

(8)
# Cd3Ag5I12 PBE optimized geometry
data_Cd3Ag5I12
_space_group_name_H-M_alt 'I a -3 d'
_space_group_IT_number 230
_space_group_name_Hall '-I 4bd 2c 3'
_cell_length_a 18.793
_cell_length_b 18.793
_cell_length_c 18.793
_cell_angle_alpha 90.00
_cell_angle_beta 90.00
_cell_angle_gamma 90.00
loop_
_atom_site_label
_atom_site_type_symbol
_atom_site_fract_x
_atom_site_fract_y
_atom_site_fract_z
Cd1 Cd 0.000 0.250 0.125
Ag1 Ag 0.000 0.000 0.000
Ag2 Ag 0.000 0.250 0.375
I1 I 0.004 0.011 0.345
# **Calculated volume**: 6637.5 Å³ per cell
# **Formation energy without anion corrections**: -4.7 eV/f.u.
# **Total magnetization**: 0.0000 μB/atom
# **Electronic total energy**: -322.632 eV per cell

(9)
# KCdAg2I PBE optimized geometry
data_KCdAg2I
_space_group_name_H-M_alt 'P 4/m m m'
_space_group_IT_number 123
_space_group_name_Hall '-P 4 2'
_cell_length_a 5.732
_cell_length_b 5.732
_cell_length_c 6.478
_cell_angle_alpha 90.00
_cell_angle_beta 90.00
_cell_angle_gamma 90.00
loop_
_atom_site_label
_atom_site_type_symbol
_atom_site_fract_x
_atom_site_fract_y
_atom_site_fract_z
K1 K 0.000 0.000 0.000
Cd1 Cd 0.500 0.500 0.000
Ag1 Ag 0.000 0.500 0.500
I1 I 0.000 0.000 0.500
# **Calculated volume**: 212.9 Å³ per cell
# **Formation energy without anion corrections**: 1.3 eV/f.u.
# **Total magnetization**: 0.0000 μB/atom
# **Electronic total energy**: -7.971 eV per cell

(10)
# MnCdAg2I6 PBE optimized geometry
data_MnCdAg2I6
_space_group_name_H-M_alt 'P 1'
_space_group_IT_number 1
_cell_length_a 7.629
_cell_length_b 7.640
_cell_length_c 8.569
_cell_angle_alpha 90.07
_cell_angle_beta 116.42
_cell_angle_gamma 119.95
loop_
_space_group_symop_operation_xyz
'x,y,z'
loop_
_atom_site_label
_atom_site_type_symbol
_atom_site_fract_x
_atom_site_fract_y
_atom_site_fract_z
Mn1 Mn 0.000 0.000 0.000
Cd1 Cd 0.215 0.608 0.826
Ag1 Ag 0.490 0.744 0.233
Ag2 Ag 0.665 0.332 0.997
I1 I 0.126 0.753 0.218
I2 I 0.144 0.930 0.746
I3 I 0.466 0.372 0.219
I4 I 0.531 0.602 0.748
I5 I 0.816 0.215 0.747
I6 I 0.848 0.095 0.220
# **Calculated volume**: 371.1 Å³ per cell
# **Formation energy without anion corrections**: -3.5 eV/f.u.
# **Total magnetization**: 0.4985 μB/atom
# **Electronic total energy**: -28.560 eV per cell

(11)
# CdAgIN2 PBE optimized geometry
data_CdAgIN2
_space_group_name_H-M_alt 'P 4/m m m'
_space_group_IT_number 123
_space_group_name_Hall '-P 4 2'
_cell_length_a 4.348
_cell_length_b 4.348
_cell_length_c 6.744
_cell_angle_alpha 90.00
_cell_angle_beta 90.00
_cell_angle_gamma 90.00
loop_
_atom_site_label
_atom_site_type_symbol
_atom_site_fract_x
_atom_site_fract_y
_atom_site_fract_z
Cd1 Cd 0.000 0.000 0.000
Ag1 Ag 0.500 0.500 0.500
I1 I 0.000 0.000 0.500
N1 N 0.000 0.500 0.000
# **Calculated volume**: 127.5 Å³ per cell
# **Offset from the most stable computed form**: 0.0000 eV/atom
# **Formation energy without anion corrections**: 7.6 eV/f.u.
# **Total magnetization**: 0.7112 μB/atom
# **Electronic total energy**: -14.339 eV per cell

Question: Which of these has the lowest calculated volume?
Answer: CdAgIN2

Question: electronic total energy of number 11 (CdAgIN2)?
Answer: -14.339 eV per cell

Question: What is the total magnetization in the sixth record?
Answer: 0.0000 μB/atom

Question: Which value of calculated volume does entry 5 give?
Answer: 826.9 Å³ per cell